DFT (GGA+U) results for a geometry-optimized DyCrO5 structure.

Properties
- DFT total energy (eV/cell) = -98.6
- spin magnetization (Bohr magnetons per cell) = 2.00

a = 7.253 Å, b = 7.253 Å, c = 4.515 Å
α = 90.00°, β = 90.00°, γ = 90.00°
Positions (direct):
Dy: 0.250 0.250 0.246
Dy: 0.750 0.750 0.754
Cr: 0.250 0.750 0.500
Cr: 0.750 0.250 0.500
O: 0.062 0.750 0.712
O: 0.250 0.250 0.748
O: 0.250 0.562 0.288
O: 0.250 0.938 0.288
O: 0.438 0.750 0.712
O: 0.562 0.250 0.288
O: 0.750 0.062 0.712
O: 0.750 0.438 0.712
O: 0.750 0.750 0.252
O: 0.938 0.250 0.288